(1)
Computed, not measured: a relaxed structure of CePrZnSi at the PBE level of DFT.

- E_form (uncorrected): -0.3702 eV per atom

```
CePrZnSi
1.0
-4.774 0.137 1.914
-1.767 -3.945 2.790
-0.727 0.552 5.064
Si Zn Ce Pr
1 1 1 1
direct
0.500 0.500 0.500
0.000 0.000 0.000
0.250 0.250 0.250
0.750 0.750 0.750
```


(2)
Computed, not measured: a relaxed structure of Cs2TcAgO4 at the PBE level of DFT.

- E_form (uncorrected): -1.1438 eV per atom

```
Cs2TcAgO4
1.0
5.271 0.000 0.000
2.635 6.844 0.000
2.635 0.000 11.412
Cs Ag O Tc
4 2 8 2
direct
0.835 0.000 0.330
0.585 0.500 0.830
0.915 0.500 0.170
0.165 0.000 0.670
0.750 0.500 0.500
0.000 0.000 0.000
0.769 0.824 0.895
0.488 0.176 0.105
0.981 0.676 0.605
0.262 0.324 0.395
0.336 0.176 0.895
0.407 0.824 0.105
0.414 0.324 0.605
0.343 0.676 0.395
0.250 0.500 0.500
0.500 0.000 0.000
```


(3)
Computed, not measured: a relaxed structure of InRuCl2 at the PBE level of DFT.

- Relative energy among the computed polymorphs: 0.7445 eV per atom
- E_form (uncorrected): 0.5042 eV per atom

```
InRuCl2
1.0
-0.352 -4.320 2.197
2.061 -0.691 4.346
-2.778 -0.495 3.956
Cl Ru In
2 1 1
direct
0.250 0.250 0.250
0.000 0.000 0.000
0.750 0.750 0.750
0.500 0.500 0.500
```


(4)
Computed, not measured: a relaxed structure of CoTeHI2 at the PBE level of DFT.

- Relative energy among the computed polymorphs: 0.2181 eV per atom

```
CoTeHI2
1.0
-0.142 1.429 5.452
2.187 -5.013 1.371
3.531 1.461 -0.291
H I Te Co
1 2 1 1
direct
0.000 0.000 0.000
0.500 0.000 0.000
0.000 0.500 0.000
0.000 0.000 0.500
0.500 0.500 0.500
```


(5)
Computed, not measured: a relaxed structure of NaLa3 at the PBE level of DFT.

- Relative energy among the computed polymorphs: 0.0785 eV per atom
- Energy of formation: 0.92 eV/f.u.

```
NaLa3
1.0
5.251 0.000 0.000
0.000 5.251 0.000
0.000 0.000 5.251
Na La
1 3
direct
0.000 0.000 0.000
0.000 0.500 0.500
0.500 0.000 0.500
0.500 0.500 0.000
```


(6)
Computed, not measured: a relaxed structure of RbGa2Bi at the PBE level of DFT.

- Energy of formation: 0.29 eV/f.u.

```
RbGa2Bi
1.0
8.883 0.000 0.000
0.000 8.883 0.000
4.442 4.442 3.611
Ga Rb Bi
4 2 2
direct
0.375 0.315 0.750
0.065 0.625 0.250
0.875 0.935 0.750
0.685 0.125 0.250
0.250 0.750 0.500
0.500 0.500 0.000
0.750 0.250 0.500
0.000 0.000 0.000
```


(7)
Computed, not measured: a relaxed structure of NiIr at the PBE level of DFT.

- Energy of formation: 0.52 eV/f.u.

```
NiIr
1.0
2.656 0.000 0.000
-1.328 2.300 0.000
0.000 0.000 8.923
Ir Ni
2 2
direct
0.667 0.333 0.551
0.333 0.667 0.051
0.667 0.333 0.820
0.333 0.667 0.320
```


(8)
Computed, not measured: a relaxed structure of Cs3Pm2HfSe6 at the PBE level of DFT.

- E_form (uncorrected): -1.5445 eV per atom

```
Cs3Pm2HfSe6
1.0
-1.290 0.699 -7.166
2.901 -6.188 2.607
-8.245 -1.324 2.603
Cs Se Pm Hf
3 6 2 1
direct
0.828 0.172 0.500
0.172 0.828 0.500
0.500 0.500 0.500
0.753 0.753 0.188
0.628 0.938 0.814
0.062 0.372 0.186
0.247 0.247 0.812
0.938 0.628 0.814
0.372 0.062 0.186
0.666 0.334 0.000
0.334 0.666 0.000
0.000 0.000 0.000
```


(9)
Computed, not measured: a relaxed structure of NiSbSe2 at the PBE level of DFT.

- E_form (uncorrected): 0.2676 eV per atom

```
NiSbSe2
1.0
3.296 0.000 0.000
0.000 3.296 0.000
0.000 0.000 7.081
Sb Se Ni
1 2 1
direct
0.500 0.500 0.750
0.000 0.000 0.449
0.000 0.000 0.051
0.500 0.500 0.250
```


(10)
Computed, not measured: a relaxed structure of LaBIr2Ru at the PBE level of DFT.

- Energy of formation: -2.16 eV/f.u.

```
LaBIr2Ru
1.0
4.269 0.000 0.000
0.000 4.269 0.000
0.000 0.000 4.351
Ru La Ir B
1 1 2 1
direct
0.000 0.000 0.500
0.500 0.500 0.500
0.000 0.500 0.000
0.500 0.000 0.000
0.000 0.000 0.000
```


(11)
Computed, not measured: a relaxed structure of CdRhCl2 at the PBE level of DFT.

- Relative energy among the computed polymorphs: 0.1533 eV per atom
- E_form (uncorrected): -0.2098 eV per atom

```
CdRhCl2
1.0
-0.482 3.272 -0.805
-2.514 -2.202 -0.648
-3.351 1.473 7.993
Rh Cl Cd
1 2 1
direct
0.000 0.000 0.495
0.000 0.000 0.945
0.500 0.500 0.322
0.500 0.500 0.738
```


(12)
Computed, not measured: a relaxed structure of Nd5InHg2 at the PBE level of DFT.

- Energy of formation: -2.79 eV/f.u.

```
Nd5InHg2
1.0
8.670 0.000 0.000
0.000 8.670 0.000
-4.335 -4.335 6.555
In Nd Hg
2 10 4
direct
0.250 0.250 0.500
0.750 0.750 0.500
0.505 0.695 0.700
0.495 0.305 0.300
0.805 0.995 0.300
0.305 0.805 0.300
0.000 0.000 0.000
0.695 0.195 0.700
0.995 0.495 0.300
0.500 0.500 0.000
0.195 0.005 0.700
0.005 0.505 0.700
0.640 0.140 0.000
0.360 0.860 0.000
0.860 0.640 0.000
0.140 0.360 0.000
```